Computed, not measured: a relaxed Te2MoNF crystal at the PBE+U level of DFT.

The calculation puts the total energy at -4.361 eV per atom. Its energy above the most stable polymorph in this dataset is 0.000 eV per formula unit.

The space group is P4/mmm (No. 123) and the conventional cell measures 5.394, 5.394 and 3.765 Å, with angles of 90.00, 90.00 and 90.00 degrees. Symmetry generates all atoms from Te at (0.000, 0.500, 0.000), Mo at (0.000, 0.000, 0.000), N at (0.000, 0.000, 0.500) and F at (0.500, 0.500, 0.500).